# 1
Density functional theory data (PBE) for an optimized crystal structure of SmDy6Y2Ho.

The space group is C2/c (No. 15) and the conventional cell measures 9.135, 15.030 and 9.479 Å, with angles of 90.00, 96.46 and 90.00 degrees. The distinct sites, in fractional coordinates, are Sm at (0.000, 0.028, 0.250), Dy at (0.062, 0.184, 0.943), Dy at (0.098, 0.389, 0.117), Dy at (0.210, 0.225, 0.316), Y at (0.249, 0.449, 0.453) and Ho at (0.000, 0.410, 0.750).

The calculation puts the calculated total energy at -194.36 eV for the cell shown.

***

# 2
Density functional theory data (PBE) for an optimized crystal structure of Pm2ErCu2Si2.

The space group is R-3m (No. 166, hexagonal axes) and the conventional cell measures 4.1378, 4.1378 and 31.5397 Å, with angles of 90.00, 90.00 and 120.00 degrees. The distinct sites, in fractional coordinates, are Pm at (0.0000, 0.0000, 0.1189), Er at (0.0000, 0.0000, 0.0000), Cu at (0.0000, 0.0000, 0.3891) and Si at (0.0000, 0.0000, 0.2746).

The formation energy (no corrections) is -0.5020 eV per atom.

***

# 3
Density functional theory data (PBE) for an optimized crystal structure of TeOs2Se.

The space group is Cm (No. 8) and the conventional cell measures 9.942, 2.984 and 6.663 Å, with angles of 90.00, 112.44 and 90.00 degrees. The distinct sites, in fractional coordinates, are Te at (0.000, 0.000, 0.000), Os at (0.216, 0.500, 0.294), Os at (0.433, 0.000, 0.293) and Se at (0.136, 0.000, 0.539).

The value obtained for the energy above the most stable polymorph in this dataset is 2.68 kcal/mol of atoms. The formation energy (no corrections) is 0.4864 eV per atom.